Computed, not measured: a geometry-optimized LiBeIn structure at the PBE-GGA level of DFT.

The excess energy over the best structure of this formula in the dataset comes out at 1 meV per atom. As for the formation energy from the elements: 32 meV/atom. For the total magnetization, the calculation gives 0.00 μB per formula unit.

Structure (extended XYZ):
```
6
Lattice="4.5865 0.0000 0.0000 0.0000 4.0262 0.0000 -1.4201 0.0000 5.2218" Properties=species:S:1:pos:R:3 pbc="T T T"
Li 0.0381 1.0065 0.7917
Li 3.1283 3.0196 4.4301
Be -0.1682 3.0196 2.3517
Be 3.3346 1.0065 2.8701
In 0.9827 1.0065 3.8367
In 2.1836 3.0196 1.3851
```



Computed, not measured: a geometry-optimized HfB2SbN structure at the PBE-GGA level of DFT.

The total energy comes out at -6.1726 eV/atom. For the total magnetization, the calculation gives 0.00 μB per formula unit.

Structure (extended XYZ):
```
5
Lattice="4.0523 0.0000 0.0000 0.0000 4.0523 0.0000 0.0000 0.0000 4.1982" Properties=species:S:1:pos:R:3 pbc="T T T"
Hf 0.0000 0.0000 0.0000
B 0.0000 2.0261 2.0991
B 2.0261 0.0000 2.0991
Sb 2.0261 2.0261 0.0000
N 0.0000 0.0000 2.0991
```



Computed, not measured: a geometry-optimized GdPuPb structure at the PBE-GGA level of DFT.

The excess energy over the best structure of this formula in the dataset comes out at 136 meV per atom. As for the formation energy from the elements: -20 meV/atom. For the total magnetization, the calculation gives 0.44 μB per formula unit.

Structure (extended XYZ):
```
3
Lattice="5.3414 0.0000 0.0000 -2.6707 4.6258 0.0000 0.0000 0.0000 3.3283" Properties=species:S:1:pos:R:3 pbc="T T T"
Gd 0.0000 0.0000 0.0000
Pu 0.0000 3.0839 0.0000
Pb 2.6707 1.5419 1.6642
```



Computed, not measured: a geometry-optimized CeRe2B structure at the PBE-GGA level of DFT.

As for the formation energy from the elements: 822 meV/atom. For the total magnetization, the calculation gives 0.00 μB per formula unit.

Structure (extended XYZ):
```
4
Lattice="2.3795 1.3738 3.3767 -2.3795 1.3738 3.3767 0.0000 -2.7477 3.3767" Properties=species:S:1:pos:R:3 pbc="T T T"
Ce 0.0000 0.0000 0.0000
Re 0.0000 0.0000 2.9736
Re 0.0000 0.0000 7.1564
B 0.0000 0.0000 5.0650
```



Computed, not measured: a geometry-optimized SrGaRu3 structure at the PBE-GGA level of DFT.

The excess energy over the best structure of this formula in the dataset comes out at 0 meV per atom. As for the formation energy from the elements: 842 meV/atom. For the total magnetization, the calculation gives 2.23 μB per formula unit.

Structure (extended XYZ):
```
5
Lattice="4.6676 0.0000 0.0000 0.0000 4.6676 0.0000 0.0000 0.0000 4.6676" Properties=species:S:1:pos:R:3 pbc="T T T"
Sr 0.0000 0.0000 0.0000
Ga 2.3338 2.3338 2.3338
Ru 0.0000 2.3338 2.3338
Ru 2.3338 0.0000 2.3338
Ru 2.3338 2.3338 0.0000
```



Computed, not measured: a geometry-optimized Tm2UNbN4 structure at the PBE-GGA level of DFT.

The total energy comes out at -9.4585 eV/atom. For the total magnetization, the calculation gives 0.43 μB per formula unit.

Structure (extended XYZ):
```
8
Lattice="5.6855 0.0000 0.0000 0.0000 3.3394 0.0000 -1.8873 0.0000 5.5054" Properties=species:S:1:pos:R:3 pbc="T T T"
Tm 0.0000 0.0000 0.0000
Tm 2.8427 1.6697 0.0000
U -0.9436 1.6697 2.7527
Nb 1.8991 0.0000 2.7527
N 0.0087 0.0000 4.0950
N 0.9390 1.6697 1.4473
N 2.8592 1.6697 4.0581
N 3.7895 0.0000 1.4105
```



Computed, not measured: a geometry-optimized RhWSCl2 structure at the PBE-GGA level of DFT.

The excess energy over the best structure of this formula in the dataset comes out at 324 meV per atom. For the total magnetization, the calculation gives 3.87 μB per formula unit.

Structure (extended XYZ):
```
5
Lattice="4.6416 0.0000 0.0000 0.0000 4.6416 0.0000 0.0000 0.0000 4.8250" Properties=species:S:1:pos:R:3 pbc="T T T"
Rh 0.0000 0.0000 0.0000
W 2.3208 2.3208 2.4125
S 0.0000 0.0000 2.4125
Cl 0.0000 2.3208 0.0000
Cl 2.3208 0.0000 0.0000
```



Computed, not measured: a geometry-optimized La2ErAu6 structure at the PBE-GGA level of DFT.

As for the formation energy from the elements: -695 meV/atom. For the total magnetization, the calculation gives 0.00 μB per formula unit.

Structure (extended XYZ):
```
9
Lattice="6.7273 0.0000 0.0000 -3.3636 5.8260 0.0000 0.0000 0.0000 5.5795" Properties=species:S:1:pos:R:3 pbc="T T T"
La 0.0000 3.8840 1.8365
La 3.3636 1.9420 3.7431
Er 0.0000 0.0000 2.7898
Au 0.0000 2.1893 4.5753
Au -1.4676 4.7313 4.5753
Au 1.8960 1.0947 1.0042
Au 1.4676 4.7313 4.5753
Au 4.8312 1.0947 1.0042
Au 3.3636 3.6366 1.0042
```



Q: total magnetization of number 5 (SrGaRu3)?
A: 2.23 μB per formula unit



What did the fourth record say?
Computed, not measured: a geometry-optimized CeRe2B structure at the PBE-GGA level of DFT.

As for the formation energy from the elements: 822 meV/atom. For the total magnetization, the calculation gives 0.00 μB per formula unit.

Structure (extended XYZ):
```
4
Lattice="2.3795 1.3738 3.3767 -2.3795 1.3738 3.3767 0.0000 -2.7477 3.3767" Properties=species:S:1:pos:R:3 pbc="T T T"
Ce 0.0000 0.0000 0.0000
Re 0.0000 0.0000 2.9736
Re 0.0000 0.0000 7.1564
B 0.0000 0.0000 5.0650
```